Record 1
Ta2ReHW | PBE | relaxed

## Properties
As for the final energy: -10.54 eV per atom. As for the volume: 13.983 Å³ per atom. The value obtained for the total moment is 0.0 μB per formula unit. Its space-group type is P4/mmm (123). The value obtained for the relative energy among the computed polymorphs is 0.0 kJ/mol of formula units.

Cell lengths 4.5305, 4.5305, 3.4061 Å; angles 90.00, 90.00, 90.00 degrees
Fractional coordinates of all 5 atoms:
Ta  0.0000  0.5000  0.0000
Ta  0.5000  0.0000  0.0000
Re  0.0000  0.0000  0.5000
H  0.5000  0.5000  0.0000
W  0.5000  0.5000  0.5000

Record 2
Mg2ZnNi | PBE | relaxed

## Properties
As for the final energy: -2.55 eV per atom. Its formation energy is 0.01 eV per atom. As for the volume: 16.501 Å³ per atom. The value obtained for the total moment is 0.0 μB per formula unit. Its space-group type is R3m (160).

Cell lengths 8.9720, 8.9720, 8.9720 Å; angles 18.87, 18.87, 18.87 degrees
Fractional coordinates of all 4 atoms:
Mg  0.0000  0.0000  0.0000
Mg  0.1821  0.1821  0.1821
Zn  0.4248  0.4248  0.4248
Ni  0.5909  0.5909  0.5909

Record 3
GaCu2SiMo | PBE | relaxed

## Properties
As for the final energy: -4.94 eV per atom. As for the volume: 17.054 Å³ per atom. The value obtained for the total moment is 0.4 μB per formula unit. Its space-group type is P4/mmm (123). The calculation puts the uncorrected formation energy at 0.5561 eV per atom.

Cell lengths 4.2682, 4.2682, 4.6807 Å; angles 90.00, 90.00, 90.00 degrees
Fractional coordinates of all 5 atoms:
Ga  0.0000  0.0000  0.0000
Cu  0.0000  0.5000  0.5000
Cu  0.5000  0.0000  0.5000
Si  0.5000  0.5000  0.5000
Mo  0.5000  0.5000  0.0000

Record 4
AgSCl | PBE | relaxed

## Properties
As for the final energy: -3.15 eV per atom. As for the volume: 24.864 Å³ per atom. The value obtained for the total moment is 0.0 μB per formula unit. Its space-group type is P1 (1). The value obtained for the relative energy among the computed polymorphs is 11.7 kJ/mol of formula units. The calculation puts the uncorrected formation energy at -0.2094 eV per atom.

Cell lengths 3.8001, 6.1030, 6.9069 Å; angles 69.88, 82.83, 88.89 degrees
Fractional coordinates of all 6 atoms:
Ag  0.0000  0.0000  0.0000
Ag  0.4380  0.3584  0.3585
S  0.3992  0.6966  0.4946
S  0.4449  0.9841  0.2524
Cl  0.0231  0.5185  0.0825
Cl  0.5569  0.1165  0.7249